[1]
A plane-wave DFT calculation with SCAN was carried out for a PBEsol-optimized structure of Fe2P.

Cell lengths 4.602, 4.602, 4.602 Å; angles 60.00, 60.00, 60.00 degrees
Fractional positions:
1 Fe 0.000 0.000 0.000
2 Fe 0.000 0.000 0.500
3 Fe 0.000 0.500 0.000
4 Fe 0.500 0.000 0.000
5 P 0.375 0.375 0.375
6 P 0.625 0.625 0.625

Computed properties:
- theoretical density (kg/m³) = 6874
- formation energy from the elements (eV per atom) = 0.405
- volume (Å³ per cell) = 68.9
- density of states at the Fermi level (states/eV per cell) = 4.026
- E (eV for the cell shown) = -90.9


[2]
A plane-wave DFT calculation with SCAN was carried out for a PBEsol-optimized structure of ZrCu2Sb.

Cell lengths 3.063, 4.240, 5.334 Å; angles 90.00, 90.00, 90.00 degrees
Fractional positions:
1 Zr 0.000 0.000 0.000
2 Cu 0.500 0.500 0.223
3 Cu 0.500 0.500 0.777
4 Sb 0.500 0.000 0.500

Computed properties:
- theoretical density (kg/m³) = 8150
- volume (Å³ per cell) = 69.3
- E_form (uncorrected) (eV/atom) = -0.20
- density of states at the Fermi level (states/eV per cell) = 1.578
- E (eV for the cell shown) = -99.2


[3]
A plane-wave DFT calculation with SCAN was carried out for a PBEsol-optimized structure of HfHgAsSe2.

Cell lengths 5.016, 5.016, 4.989 Å; angles 90.00, 90.00, 90.00 degrees
Fractional positions:
1 Hf 0.000 0.000 0.000
2 Hg 0.500 0.500 0.500
3 As 0.500 0.500 0.000
4 Se 0.000 0.500 0.500
5 Se 0.500 0.000 0.500

Computed properties:
- theoretical density (kg/m³) = 8093
- volume (Å³ per cell) = 125.6
- E_form (uncorrected) (eV/atom) = 0.87
- density of states at the Fermi level (states/eV per cell) = 2.866
- E (eV for the cell shown) = -186.8


[4]
A plane-wave DFT calculation with SCAN was carried out for a PBEsol-optimized structure of NbWI2.

Cell lengths 4.759, 4.759, 4.759 Å; angles 60.00, 60.00, 60.00 degrees
Fractional positions:
1 Nb 0.000 0.000 0.000
2 W 0.500 0.500 0.500
3 I 0.250 0.250 0.250
4 I 0.750 0.750 0.750

Computed properties:
- theoretical density (kg/m³) = 11560
- volume (Å³ per cell) = 76.2
- E_form (uncorrected) (eV/atom) = 1.29
- density of states at the Fermi level (states/eV per cell) = 2.937
- E (eV for the cell shown) = -171.2


[5]
A plane-wave DFT calculation with SCAN was carried out for a PBEsol-optimized structure of SiH6N2F4.

Cell lengths 5.024, 6.871, 6.969 Å; angles 90.00, 94.07, 90.00 degrees
Fractional positions:
1 Si 0.000 0.000 0.000
2 Si 0.000 0.500 0.500
3 H 0.182 0.072 0.327
4 H 0.182 0.428 0.827
5 H 0.217 0.667 0.784
6 H 0.217 0.833 0.284
7 H 0.425 0.505 0.694
8 H 0.425 0.995 0.194
9 H 0.575 0.005 0.806
10 H 0.575 0.495 0.306
11 H 0.783 0.167 0.716
12 H 0.783 0.333 0.216
13 H 0.818 0.572 0.173
14 H 0.818 0.928 0.673
15 N 0.229 0.530 0.725
16 N 0.229 0.970 0.225
17 N 0.771 0.030 0.775
18 N 0.771 0.470 0.275
19 F 0.108 0.233 0.985
20 F 0.108 0.267 0.485
21 F 0.250 0.578 0.363
22 F 0.250 0.922 0.863
23 F 0.750 0.078 0.137
24 F 0.750 0.422 0.637
25 F 0.892 0.733 0.515
26 F 0.892 0.767 0.015

Computed properties:
- theoretical density (kg/m³) = 1912
- volume (Å³ per cell) = 239.9
- density of states at the Fermi level (states/eV per cell) = 0.000
- E (eV for the cell shown) = -169.2


[6]
A plane-wave DFT calculation with SCAN was carried out for a PBEsol-optimized structure of ZrCdHg2.

Cell lengths 3.000, 4.513, 6.274 Å; angles 90.00, 101.41, 90.00 degrees
Fractional positions:
1 Zr 0.000 0.000 0.000
2 Cd 0.500 0.000 0.500
3 Hg 0.373 0.500 0.759
4 Hg 0.627 0.500 0.241

Computed properties:
- theoretical density (kg/m³) = 12060
- formation energy from the elements (eV per atom) = -0.159
- volume (Å³ per cell) = 83.3
- density of states at the Fermi level (states/eV per cell) = 1.575
- E (eV for the cell shown) = -198.1


[7]
A plane-wave DFT calculation with SCAN was carried out for a PBEsol-optimized structure of BaCd2Hg.

Cell lengths 5.057, 5.057, 5.930 Å; angles 115.16, 115.16, 59.95 degrees
Fractional positions:
1 Ba 0.000 0.000 0.000
2 Cd 0.216 0.216 0.647
3 Cd 0.514 0.514 0.542
4 Hg 0.779 0.779 0.338

Computed properties:
- theoretical density (kg/m³) = 8171
- formation energy from the elements (eV per atom) = -0.353
- volume (Å³ per cell) = 114.4
- density of states at the Fermi level (states/eV per cell) = 2.524
- E (eV for the cell shown) = -170.0


[8]
A plane-wave DFT calculation with SCAN was carried out for a PBEsol-optimized structure of SrLiH3.

Cell lengths 4.595, 4.595, 4.595 Å; angles 90.00, 90.00, 90.00 degrees
Fractional positions:
1 Sr 0.000 0.000 0.000
2 Li 0.500 0.500 0.500
3 H 0.000 0.000 0.500
4 H 0.000 0.500 0.000
5 H 0.500 0.000 0.000

Computed properties:
- theoretical density (kg/m³) = 1670
- volume (Å³ per cell) = 97.0
- density of states at the Fermi level (states/eV per cell) = 0.000
- E (eV for the cell shown) = -35.6